1.
Nd2AlGa3 PBE-GGA relaxed; polymorph energy (0 for the lowest one) = 0 meV per atom; total moment = 0.00 μB/cell; volume = 23.00 Å³/atom
1.0
0.0000 4.3082 7.4674
4.2889 0.0000 7.4674
4.2889 4.3082 0.0000
Nd Al Ga
4 2 6
Direct
0.2472 0.7528 0.7528
0.2500 0.2500 0.2500
0.7500 0.7500 0.7500
0.7528 0.2472 0.2472
0.3337 0.3337 0.6663
0.6663 0.6663 0.3337
0.1667 0.1667 0.8333
0.1670 0.6669 0.3331
0.3331 0.8330 0.1670
0.6669 0.1670 0.8330
0.8330 0.3331 0.6669
0.8333 0.8333 0.1667

---

2.
NdAl2Ga2 PBE-GGA relaxed; total moment = 0.00 μB/cell; uncorrected energy = -17.75 eV for the cell shown; volume = 24.00 Å³/atom
1.0
5.1640 0.0000 0.0000
-2.5820 4.4722 0.0000
0.0000 0.0000 5.1971
Nd Al Ga
1 2 2
Direct
0.0000 0.0000 0.0000
0.3333 0.6667 0.4863
0.6667 0.3333 0.5137
0.3333 0.6667 0.9847
0.6667 0.3333 0.0153

---

3.
NdAl2Ga2 PBE-GGA relaxed; total moment = 0.00 μB/cell; uncorrected energy = -20.51 eV for the cell shown; volume = 19.97 Å³/atom
1.0
-2.1084 2.1084 5.6154
2.1084 -2.1084 5.6154
2.1084 2.1084 -5.6154
Nd Al Ga
1 2 2
Direct
0.0000 0.0000 0.0000
0.2500 0.7500 0.5000
0.7500 0.2500 0.5000
0.3887 0.3887 0.0000
0.6113 0.6113 0.0000

---

4.
Nd12Al6Ga PBE-GGA relaxed; total moment = 0.00 μB/cell; uncorrected energy = -85.43 eV for the cell shown; volume = 28.57 Å³/atom
1.0
6.2668 3.6182 3.9900
-6.2668 3.6182 3.9900
0.0000 -7.2363 3.9900
Nd Al Ga
12 6 1
Direct
0.1439 0.1592 0.4443
0.1592 0.4443 0.1439
0.1685 0.5637 0.6619
0.3381 0.8315 0.4363
0.4363 0.3381 0.8315
0.4443 0.1439 0.1592
0.5557 0.8561 0.8408
0.5637 0.6619 0.1685
0.6619 0.1685 0.5637
0.8315 0.4363 0.3381
0.8408 0.5557 0.8561
0.8561 0.8408 0.5557
0.0237 0.2184 0.7853
0.2147 0.9763 0.7816
0.2184 0.7853 0.0237
0.7816 0.2147 0.9763
0.7853 0.0237 0.2184
0.9763 0.7816 0.2147
0.5000 0.5000 0.5000